No. 1
SrHoF5, relaxed, DFT GGA-PBE; ΔE_f (raw) = -4.075 eV per atom
1.0
4.143 -0.040 1.178
0.374 5.742 0.106
-0.091 -0.020 8.194
Sr Ho F
2 2 10
Direct
0.323 0.250 0.353
0.677 0.750 0.647
0.076 0.250 0.848
0.924 0.750 0.152
0.194 0.398 0.076
0.197 0.497 0.623
0.378 0.750 0.243
0.181 0.003 0.623
0.270 0.898 0.924
0.730 0.102 0.076
0.819 0.997 0.377
0.622 0.250 0.757
0.803 0.503 0.377
0.806 0.602 0.924

---

No. 2
BaCuPd3, relaxed, DFT GGA-PBE; energy above the most stable polymorph in this dataset = 0.536 eV per formula unit; energy of formation = -0.4 eV/f.u.
1.0
4.808 0.000 0.000
0.000 4.808 0.000
0.000 0.000 4.808
Cu Ba Pd
1 1 3
Direct
0.000 0.000 0.000
0.500 0.500 0.500
0.000 0.500 0.000
0.000 0.000 0.500
0.500 0.000 0.000

---

No. 3
PmPaOs, relaxed, DFT GGA-PBE; energy above the most stable polymorph in this dataset = 0.000 eV per formula unit; energy of formation = -0.6 eV/f.u.
1.0
-1.445 1.310 -3.721
3.318 -2.800 -2.276
-4.583 -5.839 -0.275
Pm Pa Os
2 2 2
Direct
0.814 0.866 0.547
0.314 0.366 0.292
0.814 0.395 0.910
0.314 0.838 0.930
0.814 0.973 0.146
0.314 0.260 0.693

---

No. 4
Pa2Hg3Bi3, relaxed, DFT GGA-PBE; energy of formation = -0.8 eV/f.u.
1.0
5.009 0.000 0.000
0.000 4.799 0.000
0.000 0.000 8.818
Pa Hg Bi
2 3 3
Direct
0.000 0.000 0.746
0.000 0.000 0.254
0.500 0.500 0.758
0.500 0.500 0.242
0.500 0.000 0.000
0.500 0.000 0.500
0.000 0.500 0.000
0.000 0.500 0.500

---

No. 5
Tm2LuZr, relaxed, DFT GGA-PBE; energy above the most stable polymorph in this dataset = 0.021 eV per formula unit; energy of formation = 0.3 eV/f.u.
1.0
4.789 0.000 0.000
0.000 4.795 0.000
0.000 0.000 4.795
Lu Tm Zr
1 2 1
Direct
0.500 0.500 0.500
0.000 0.000 0.500
0.000 0.500 0.000
0.500 0.000 0.000

---

No. 6
Y12InCo6, relaxed, DFT GGA-PBE; energy of formation = -4.6 eV/f.u.
1.0
1.222 4.480 -7.003
6.351 -5.408 1.009
-7.224 -4.247 -0.616
Y In Co
12 1 6
Direct
0.302 0.109 0.806
0.302 0.496 0.194
0.698 0.504 0.806
0.698 0.891 0.194
0.109 0.806 0.302
0.496 0.194 0.302
0.504 0.806 0.698
0.891 0.194 0.698
0.806 0.302 0.109
0.194 0.302 0.496
0.806 0.698 0.504
0.194 0.698 0.891
0.000 0.000 0.000
0.388 0.500 0.888
0.612 0.500 0.112
0.500 0.888 0.388
0.500 0.112 0.612
0.888 0.388 0.500
0.112 0.612 0.500

---

No. 7
Na3BeGa, relaxed, DFT GGA-PBE; energy above the most stable polymorph in this dataset = 0.000 eV per formula unit; energy of formation = 3.2 eV/f.u.
1.0
5.334 0.000 0.000
0.000 5.334 0.000
0.000 0.000 5.334
Na Ga Be
3 1 1
Direct
0.000 0.500 0.000
0.000 0.000 0.500
0.500 0.000 0.000
0.500 0.500 0.500
0.000 0.000 0.000

---

No. 8
SrMnW2, relaxed, DFT GGA-PBE; energy above the most stable polymorph in this dataset = 1.260 eV per formula unit; energy of formation = 4.4 eV/f.u.
1.0
-0.298 5.798 -0.198
-5.318 2.230 0.705
4.382 -3.072 2.260
Mn Sr W
1 1 2
Direct
0.529 0.529 0.000
0.244 0.744 0.500
0.959 0.959 0.000
0.767 0.267 0.500

---

No. 9
BaSiPb2, relaxed, DFT GGA-PBE; ΔE_f (raw) = 0.030 eV per atom
1.0
-3.688 -3.053 2.239
1.945 -4.210 -2.536
5.442 -5.469 7.745
Pb Si Ba
4 2 2
Direct
0.527 0.125 0.250
0.223 0.625 0.250
0.375 0.473 0.750
0.875 0.777 0.750
0.500 0.500 0.000
0.250 0.750 0.500
0.000 0.000 0.000
0.750 0.250 0.500

---

No. 10
CaMn2P, relaxed, DFT GGA-PBE; energy of formation = 0.2 eV/f.u.
1.0
4.387 0.000 0.000
0.000 4.387 0.000
2.194 2.194 8.222
P Ca Mn
2 2 4
Direct
0.500 0.500 0.000
0.250 0.750 0.500
0.000 0.000 0.000
0.750 0.250 0.500
0.375 0.125 0.250
0.375 0.625 0.250
0.375 0.625 0.750
0.875 0.625 0.750

---

No. 11
Cs2KIO, relaxed, DFT GGA-PBE; ΔE_f (raw) = -1.199 eV per atom
1.0
-1.337 5.801 0.981
-4.506 -1.656 3.654
3.361 0.068 4.176
Cs I K O
2 1 1 1
Direct
0.000 0.500 0.000
0.500 0.000 0.000
0.500 0.500 0.500
0.000 0.000 0.500
0.000 0.000 0.000

---

No. 12
K12AgAu5, relaxed, DFT GGA-PBE; energy of formation = -3.2 eV/f.u.
1.0
9.203 -0.297 -3.645
-4.905 8.203 -2.591
-0.130 0.297 9.897
K Ag Au
12 1 5
Direct
0.548 0.829 0.719
0.452 0.171 0.281
0.890 0.171 0.719
0.110 0.829 0.281
0.672 0.653 0.325
0.328 0.347 0.675
0.328 0.653 0.981
0.672 0.347 0.019
0.816 0.564 0.748
0.184 0.436 0.252
0.184 0.932 0.748
0.816 0.068 0.252
0.000 0.500 0.500
0.714 0.714 0.000
0.286 0.286 0.000
0.500 0.119 0.619
0.500 0.881 0.381
0.000 0.000 0.000

---

Number 1: magnetic moment 0.0 μB/f.u.. Number 2: magnetic moment 0.0 μB/f.u.. Number 3: magnetic moment 0.0 μB/f.u.. Number 4: magnetic moment 1.0 μB/f.u.. Number 5: magnetic moment 0.0 μB/f.u.. Number 6: magnetic moment 0.0 μB/f.u.. Number 7: magnetic moment 0.0 μB/f.u.. Number 8: magnetic moment 3.1 μB/f.u.. Number 9: magnetic moment 0.0 μB/f.u.. Number 10: magnetic moment 4.2 μB/f.u.. Number 11: magnetic moment 0.0 μB/f.u.. Number 12: magnetic moment 0.0 μB/f.u..